(1)
## Li2CrAu (PBE)

Data for a relaxed structure of Li2CrAu.

Geometry as POSCAR:
```
Li2CrAu
1.0
-1.0513 -1.4402 -2.0355
2.4283 -1.0936 -0.4796
-1.7405 -6.1747 5.2680
Li Cr Au
2 1 1
Direct
0.5000 0.5000 0.2687
0.0000 0.0000 0.9842
0.5000 0.5000 0.7462
0.0000 0.0000 0.5010
```

Output
distance to the lowest polymorph of the same formula	25.7	kJ/mol of atoms
ΔH_f (0 K)	0.2381	eV/atom
size of the total moment	0.5	μB/cell
D(E_F)	0.72	states/eV per atom
raw total energy	-3.94	eV per atom
V	61	Å³ per cell

(2)
## Hf8Sn2Mo (PBE)

Data for a relaxed structure of Hf8Sn2Mo.

Geometry as POSCAR:
```
Hf8Sn2Mo
1.0
-3.6990 -0.9904 3.2316
-2.5971 -4.3528 -4.3067
7.1039 -2.5777 3.4567
Sn Hf Mo
2 8 1
Direct
0.1865 0.6865 0.3729
0.8135 0.3135 0.6271
0.8258 0.8257 0.6515
0.0000 0.2552 0.0000
0.0000 0.7448 0.0000
0.6364 0.8722 0.2727
0.6363 0.4006 0.2726
0.1742 0.1743 0.3485
0.3636 0.1278 0.7273
0.3637 0.5994 0.7274
0.5000 0.0000 0.0000
```

Output
ΔH_f (0 K)	-0.1278	eV/atom
size of the total moment	0.0	μB/cell
D(E_F)	0.90	states/eV per atom
raw total energy	-9.08	eV per atom
V	240	Å³ per cell

(3)
## KAl3Se (PBE)

Data for a relaxed structure of KAl3Se.

Geometry as POSCAR:
```
KAl3Se
1.0
5.3451 0.0000 0.0000
0.0000 5.3451 0.0000
0.0000 0.0000 5.3451
Al K Se
3 1 1
Direct
0.0000 0.5000 0.0000
0.5000 0.0000 0.0000
0.0000 0.0000 0.5000
0.5000 0.5000 0.5000
0.0000 0.0000 0.0000
```

Output
E_form (uncorrected)	0.484	eV/atom
distance to the lowest polymorph of the same formula	0.0	kJ/mol of atoms
size of the total moment	0.0	μB/cell
D(E_F)	0.72	states/eV per atom
raw total energy	-2.68	eV per atom
V	153	Å³ per cell